1.
Entry from the Alexandria database: a relaxed BaSiRu3 crystal (PBE).

E above lowest polymorph, meV per atom: 0
Raw formation energy, eV/atom: 0.4646

Cell and atoms, written as POSCAR:
```
BaSiRu3
1.0
4.6248 0.0000 0.0000
0.0000 4.6248 0.0000
0.0000 0.0000 4.6248
Ru Si Ba
3 1 1
Cartesian
2.3124 0.0000 0.0000
0.0000 0.0000 2.3124
0.0000 2.3124 0.0000
0.0000 0.0000 0.0000
2.3124 2.3124 2.3124
```

---

2.
Entry from the Alexandria database: a relaxed KBaHgPt crystal (PBE).

Uncorrected energy, eV/atom: -2.65

Cell and atoms, written as POSCAR:
```
KBaHgPt
1.0
5.6024 0.0000 0.0000
2.8012 4.8518 0.0000
2.8012 1.6173 4.5744
K Pt Ba Hg
1 1 1 1
Cartesian
5.6024 3.2346 2.2872
8.4036 4.8518 3.4308
0.0000 0.0000 0.0000
2.8012 1.6173 1.1436
```

---

no.,V (Å³/atom)
1,19.784
2,31.085